{"formula": "YMn4Sb", "functional": "meta-GGA SCAN", "state": "PBEsol geometry", "sg": "F-43m (216)", "formation_energy_uncorrected_mev_per_atom": 114, "final_energy_ev_per_atom": -22.907, "cell": [[4.944, 0.000, 0.000], [2.472, 4.282, 0.000], [2.472, 1.427, 4.037]], "species": ["Sb", "Mn", "Mn", "Mn", "Mn", "Y"], "frac_coords": [[0.750, 0.750, 0.750], [0.869, 0.377, 0.377], [0.377, 0.869, 0.377], [0.377, 0.377, 0.377], [0.377, 0.377, 0.869], [0.000, 0.000, 0.000]]}



{"formula": "YMn2Sb", "functional": "meta-GGA SCAN", "state": "PBEsol geometry", "sg": "P4/mmm (123)", "formation_energy_uncorrected_mev_per_atom": -271, "final_energy_ev_per_atom": -25.675, "cell": [[3.980, 0.000, 0.000], [0.000, 4.310, 0.000], [0.000, 0.000, 4.310]], "species": ["Sb", "Mn", "Mn", "Y"], "frac_coords": [[0.500, 0.500, 0.500], [0.000, 0.500, 0.000], [0.000, 0.000, 0.500], [0.500, 0.000, 0.000]]}



{"formula": "Mn2Zn2Sb", "functional": "meta-GGA SCAN", "state": "PBEsol geometry", "sg": "I4/mmm (139)", "formation_energy_uncorrected_mev_per_atom": 166, "final_energy_ev_per_atom": -19.995, "cell": [[-2.886, -2.603, 0.076], [1.214, -1.244, 3.476], [-2.493, 5.686, 0.733]], "species": ["Mn", "Mn", "Sb", "Zn", "Zn"], "frac_coords": [[0.750, 0.250, 0.500], [0.250, 0.750, 0.500], [0.000, 0.000, 0.000], [0.607, 0.607, 0.213], [0.393, 0.393, 0.787]]}



{"formula": "MnZn2Sb", "functional": "meta-GGA SCAN", "state": "PBEsol geometry", "sg": "Pmmm (47)", "formation_energy_uncorrected_mev_per_atom": 70, "final_energy_ev_per_atom": -20.567, "cell": [[-0.281, 0.582, -3.506], [1.108, -3.305, -0.637], [-4.934, -1.677, 0.118]], "species": ["Zn", "Zn", "Mn", "Sb"], "frac_coords": [[0.000, 0.000, 0.231], [0.000, 0.000, 0.769], [0.500, 0.500, 0.000], [0.500, 0.500, 0.500]]}



{"formula": "MnZn2Sb", "functional": "meta-GGA SCAN", "state": "PBEsol geometry", "sg": "R3m (160)", "formation_energy_uncorrected_mev_per_atom": 161, "final_energy_ev_per_atom": -20.476, "cell": [[-0.169, 0.647, 2.997], [-1.409, -1.945, 1.914], [6.732, -4.438, 2.911]], "species": ["Zn", "Zn", "Mn", "Sb"], "frac_coords": [[0.248, 0.248, 0.256], [0.991, 0.991, 0.028], [0.505, 0.505, 0.485], [0.756, 0.756, 0.731]]}



{"formula": "MnZn2Sb", "functional": "meta-GGA SCAN", "state": "PBEsol geometry", "sg": "P4mm (99)", "formation_energy_uncorrected_mev_per_atom": 82, "final_energy_ev_per_atom": -20.554, "cell": [[3.414, 0.000, 0.000], [0.000, 3.414, 0.000], [0.000, 0.000, 5.468]], "species": ["Sb", "Mn", "Zn", "Zn"], "frac_coords": [[0.500, 0.500, 0.724], [0.000, 0.000, 0.505], [0.000, 0.000, 0.033], [0.500, 0.500, 0.239]]}



{"formula": "MnZn2Sb", "functional": "meta-GGA SCAN", "state": "PBEsol geometry", "sg": "C2/m (12)", "formation_energy_uncorrected_mev_per_atom": 100, "final_energy_ev_per_atom": -20.537, "cell": [[-1.959, -2.327, 0.141], [1.916, -0.892, 3.976], [-3.306, 4.548, 0.204]], "species": ["Zn", "Zn", "Mn", "Sb"], "frac_coords": [[0.000, 0.000, 0.500], [0.500, 0.500, 0.500], [0.000, 0.000, 0.000], [0.500, 0.500, 0.000]]}



{"formula": "MnZn3Sb", "functional": "meta-GGA SCAN", "state": "PBEsol geometry", "sg": "Pm-3m (221)", "formation_energy_uncorrected_mev_per_atom": 831, "final_energy_ev_per_atom": -18.381, "cell": [[5.130, 0.000, 0.000], [0.000, 5.130, 0.000], [0.000, 0.000, 5.130]], "species": ["Sb", "Mn", "Zn", "Zn", "Zn"], "frac_coords": [[0.000, 0.000, 0.000], [0.500, 0.500, 0.500], [0.000, 0.000, 0.500], [0.500, 0.000, 0.000], [0.000, 0.500, 0.000]]}



{"formula": "Zr2MnSb", "functional": "meta-GGA SCAN", "state": "PBEsol geometry", "sg": "I4/mmm (139)", "formation_energy_uncorrected_mev_per_atom": -435, "final_energy_ev_per_atom": -29.663, "cell": [[4.245, 0.000, 0.000], [0.000, 4.245, 0.000], [-2.123, -2.123, 4.264]], "species": ["Sb", "Zr", "Zr", "Mn"], "frac_coords": [[0.000, 0.000, 0.000], [0.750, 0.250, 0.500], [0.250, 0.750, 0.500], [0.500, 0.500, 0.000]]}



{"formula": "ZrMn2Sb", "functional": "meta-GGA SCAN", "state": "PBEsol geometry", "sg": "R-3m (166)", "formation_energy_uncorrected_mev_per_atom": 167, "final_energy_ev_per_atom": -25.950, "cell": [[-0.844, -2.915, -0.943], [2.169, -1.955, -1.254], [2.115, -4.489, 6.630]], "species": ["Sb", "Mn", "Mn", "Zr"], "frac_coords": [[0.500, 0.500, 0.500], [0.751, 0.751, 0.747], [0.249, 0.249, 0.253], [0.000, 0.000, 0.000]]}



{"formula": "Zr2MnSb", "functional": "meta-GGA SCAN", "state": "PBEsol geometry", "sg": "P4mm (99)", "formation_energy_uncorrected_mev_per_atom": -338, "final_energy_ev_per_atom": -29.566, "cell": [[-1.729, -1.932, 2.526], [2.978, -1.992, 0.515], [1.866, 3.887, 4.251]], "species": ["Mn", "Zr", "Zr", "Sb"], "frac_coords": [[0.000, 0.000, 0.499], [0.000, 0.000, 0.989], [0.500, 0.500, 0.265], [0.500, 0.500, 0.747]]}



{"formula": "ZrMnSb", "functional": "meta-GGA SCAN", "state": "PBEsol geometry", "sg": "I4mm (107)", "formation_energy_uncorrected_mev_per_atom": -302, "final_energy_ev_per_atom": -29.041, "cell": [[3.471, 0.000, 0.000], [0.000, 3.471, 0.000], [-1.736, -1.736, 4.633]], "species": ["Sb", "Zr", "Mn"], "frac_coords": [[0.656, 0.656, 0.313], [0.343, 0.343, 0.685], [0.001, 0.001, 0.002]]}



{"formula": "ZrMn2Sb", "functional": "meta-GGA SCAN", "state": "PBEsol geometry", "sg": "P4mm (99)", "formation_energy_uncorrected_mev_per_atom": -112, "final_energy_ev_per_atom": -26.230, "cell": [[-1.537, -2.062, -2.181], [2.292, -2.389, 0.643], [-3.371, -2.068, 4.331]], "species": ["Sb", "Zr", "Mn", "Mn"], "frac_coords": [[0.000, 0.000, 0.465], [0.500, 0.500, 0.779], [0.500, 0.500, 0.240], [0.000, 0.000, 0.015]]}



{"formula": "ZrMn2Sb", "functional": "meta-GGA SCAN", "state": "PBEsol geometry", "sg": "P2/m (10)", "formation_energy_uncorrected_mev_per_atom": -96, "final_energy_ev_per_atom": -26.213, "cell": [[-1.049, -2.809, -0.487], [1.167, 0.303, -4.259], [4.768, -1.604, 1.192]], "species": ["Zr", "Mn", "Mn", "Sb"], "frac_coords": [[0.000, 0.500, 0.500], [0.701, 0.000, 0.735], [0.299, 0.000, 0.265], [0.500, 0.500, 0.000]]}



{"formula": "ZrMn2Sb", "functional": "meta-GGA SCAN", "state": "PBEsol geometry", "sg": "P4/mmm (123)", "formation_energy_uncorrected_mev_per_atom": -244, "final_energy_ev_per_atom": -26.362, "cell": [[3.567, 0.000, 0.000], [0.000, 4.181, 0.000], [0.000, 0.000, 4.181]], "species": ["Zr", "Mn", "Mn", "Sb"], "frac_coords": [[0.500, 0.000, 0.000], [0.000, 0.500, 0.000], [0.000, 0.000, 0.500], [0.500, 0.500, 0.500]]}



{"formula": "ScMn4", "functional": "meta-GGA SCAN", "state": "PBEsol geometry", "sg": "Im-3m (229)", "final_energy_ev_per_atom": -16.402, "cell": [[-0.944, 3.917, 2.866], [-1.606, -4.106, 2.238], [4.872, -0.341, -0.771]], "species": ["Mn", "Mn", "Mn", "Mn", "Sc"], "frac_coords": [[0.000, 0.500, 0.000], [0.000, 0.000, 0.500], [0.500, 0.500, 0.500], [0.500, 0.000, 0.000], [0.000, 0.000, 0.000]]}



{"formula": "ScMn4", "functional": "meta-GGA SCAN", "state": "PBEsol geometry", "sg": "I4/mmm (139)", "final_energy_ev_per_atom": -17.443, "cell": [[3.810, 0.000, 0.000], [0.000, 3.810, 0.000], [-1.905, -1.905, 4.514]], "species": ["Mn", "Mn", "Mn", "Mn", "Sc"], "frac_coords": [[0.250, 0.750, 0.500], [0.624, 0.624, 0.247], [0.750, 0.250, 0.500], [0.376, 0.376, 0.753], [0.000, 0.000, 0.000]]}



{"formula": "Sc2MnSe4", "functional": "meta-GGA SCAN", "state": "PBEsol geometry", "sg": "Fd-3m (227)", "formation_energy_uncorrected_mev_per_atom": -1665, "final_energy_ev_per_atom": -19.814, "cell": [[7.755, 0.000, 0.000], [3.878, 6.716, 0.000], [3.878, 2.239, 6.332]], "species": ["Se", "Se", "Se", "Se", "Se", "Se", "Se", "Se", "Sc", "Sc", "Sc", "Sc", "Mn", "Mn"], "frac_coords": [[0.859, 0.380, 0.380], [0.870, 0.870, 0.391], [0.870, 0.870, 0.870], [0.870, 0.391, 0.870], [0.380, 0.859, 0.380], [0.391, 0.870, 0.870], [0.380, 0.380, 0.859], [0.380, 0.380, 0.380], [0.125, 0.625, 0.625], [0.625, 0.125, 0.625], [0.625, 0.625, 0.125], [0.625, 0.625, 0.625], [0.250, 0.250, 0.250], [0.000, 0.000, 0.000]]}



{"formula": "Sc3MnSi", "functional": "meta-GGA SCAN", "state": "PBEsol geometry", "sg": "Pm-3m (221)", "formation_energy_uncorrected_mev_per_atom": 51, "final_energy_ev_per_atom": -14.146, "cell": [[4.966, 0.000, 0.000], [0.000, 4.966, 0.000], [0.000, 0.000, 4.966]], "species": ["Sc", "Sc", "Sc", "Mn", "Si"], "frac_coords": [[0.000, 0.000, 0.500], [0.000, 0.500, 0.000], [0.500, 0.000, 0.000], [0.500, 0.500, 0.500], [0.000, 0.000, 0.000]]}



{"formula": "Sc2MnSi2", "functional": "meta-GGA SCAN", "state": "PBEsol geometry", "sg": "P4/mbm (127)", "formation_energy_uncorrected_mev_per_atom": -741, "final_energy_ev_per_atom": -14.093, "cell": [[4.008, 0.000, 0.000], [0.000, 6.341, 0.000], [0.000, 0.000, 6.341]], "species": ["Sc", "Sc", "Sc", "Sc", "Mn", "Mn", "Si", "Si", "Si", "Si"], "frac_coords": [[0.500, 0.172, 0.672], [0.500, 0.828, 0.328], [0.500, 0.672, 0.828], [0.500, 0.328, 0.172], [0.000, 0.000, 0.000], [0.000, 0.500, 0.500], [0.000, 0.636, 0.136], [0.000, 0.864, 0.636], [0.000, 0.136, 0.364], [0.000, 0.364, 0.864]]}